Material: LiPrGaPt
Method: DFT, PBE
State: optimized geometry

abc: 7.792 4.490 5.411
angles: 90.00 118.66 90.00
Space group Cm (No. 8)
Unique sites:
Li 0.000 0.000 0.000
Pr 0.298 0.500 0.393
Ga 0.271 0.000 0.814
Pt 0.090 0.500 0.771

Computed properties:
For the calculated formation energy, the calculation gives -722.6 meV per atom. The raw total energy is -4.66 eV/atom. Its energy above the most stable polymorph in this dataset is 0.00 kJ per mole of atoms. The crystal system is monoclinic.